Entry 1:
SrBe2Ge (PBE, relaxed); formation energy = 0.222 eV/f.u.; spin magnetization = 0.00 μB/atom; space group = I4_1/amd, No. 141
1.0
4.610 0.000 0.000
0.000 4.610 0.000
0.000 0.000 15.371
Sr Be Ge
4 8 4
Direct
0.000 0.250 0.375
0.000 0.750 0.625
0.500 0.250 0.125
0.500 0.750 0.875
0.000 0.000 0.000
0.000 0.500 0.000
0.250 0.250 0.750
0.250 0.750 0.250
0.500 0.000 0.500
0.500 0.500 0.500
0.750 0.250 0.750
0.750 0.750 0.250
0.000 0.250 0.875
0.000 0.750 0.125
0.500 0.250 0.625
0.500 0.750 0.375

Entry 2:
Pa2TcIr (PBE, relaxed); formation energy = -1.517 eV/f.u.; excess energy over the best structure of this formula in the dataset = 1.9 kJ per mole of atoms; spin magnetization = 0.00 μB/atom; space group = Fm-3m, No. 225
1.0
6.893 0.000 0.000
0.000 6.893 0.000
0.000 0.000 6.893
Pa Tc Ir
8 4 4
Direct
0.250 0.250 0.250
0.250 0.250 0.750
0.250 0.750 0.250
0.250 0.750 0.750
0.750 0.250 0.250
0.750 0.250 0.750
0.750 0.750 0.250
0.750 0.750 0.750
0.000 0.000 0.000
0.000 0.500 0.500
0.500 0.000 0.500
0.500 0.500 0.000
0.000 0.000 0.500
0.000 0.500 0.000
0.500 0.000 0.000
0.500 0.500 0.500

Entry 3:
Tm2Tl3SnTe6 (PBE, relaxed); raw total energy = -4.01 eV/atom; spin magnetization = 0.00 μB/atom; space group = C2/m, No. 12
1.0
10.276 -2.196 0.000
10.276 2.196 0.000
-2.958 0.000 9.116
Tm Tl Sn Te
2 3 1 6
Direct
0.169 0.169 0.338
0.831 0.831 0.662
0.166 0.166 0.839
0.500 0.500 0.500
0.834 0.834 0.161
0.500 0.500 0.000
0.011 0.011 0.238
0.325 0.325 0.435
0.339 0.339 0.889
0.661 0.661 0.111
0.675 0.675 0.565
0.989 0.989 0.762

Entry 4:
Ga2FeRe (PBE, relaxed); formation energy = 0.652 eV/f.u.; excess energy over the best structure of this formula in the dataset = 0.0 kJ per mole of atoms; spin magnetization = 0.52 μB/atom; space group = Fm-3m, No. 225
1.0
6.036 0.000 0.000
0.000 6.036 0.000
0.000 0.000 6.036
Ga Fe Re
8 4 4
Direct
0.250 0.250 0.250
0.250 0.250 0.750
0.250 0.750 0.250
0.250 0.750 0.750
0.750 0.250 0.250
0.750 0.250 0.750
0.750 0.750 0.250
0.750 0.750 0.750
0.000 0.000 0.000
0.000 0.500 0.500
0.500 0.000 0.500
0.500 0.500 0.000
0.000 0.000 0.500
0.000 0.500 0.000
0.500 0.000 0.000
0.500 0.500 0.500

Entry 5:
Re2SbOs (PBE, relaxed); raw total energy = -9.53 eV/atom; spin magnetization = 0.00 μB/atom; space group = P4/mmm, No. 123
1.0
3.000 0.000 0.000
0.000 3.000 0.000
0.000 0.000 7.158
Re Sb Os
2 1 1
Direct
0.000 0.000 0.240
0.000 0.000 0.760
0.500 0.500 0.500
0.500 0.500 0.000

Entry 6:
MoP (PBE, relaxed); formation energy = 0.550 eV/f.u.; spin magnetization = 0.16 μB/atom; space group = Pm-3n, No. 223
1.0
6.601 0.000 0.000
0.000 6.601 0.000
0.000 0.000 6.601
Mo P
6 6
Direct
0.000 0.250 0.500
0.000 0.750 0.500
0.250 0.500 0.000
0.500 0.000 0.250
0.500 0.000 0.750
0.750 0.500 0.000
0.000 0.500 0.250
0.000 0.500 0.750
0.250 0.000 0.500
0.500 0.250 0.000
0.500 0.750 0.000
0.750 0.000 0.500

Entry 7:
PmTmSb (PBE, relaxed); excess energy over the best structure of this formula in the dataset = 0.0 kJ per mole of atoms; spin magnetization = 0.00 μB/atom; space group = I4/mmm, No. 139
1.0
4.515 0.000 0.000
0.000 4.515 0.000
0.000 0.000 16.995
Pm Tm Sb
4 4 4
Direct
0.000 0.000 0.177
0.000 0.000 0.823
0.500 0.500 0.323
0.500 0.500 0.677
0.000 0.500 0.000
0.000 0.500 0.500
0.500 0.000 0.000
0.500 0.000 0.500
0.000 0.000 0.367
0.000 0.000 0.633
0.500 0.500 0.133
0.500 0.500 0.867

Entry 8:
LiGaMoAu2 (PBE, relaxed); formation energy = 3.325 eV/f.u.; spin magnetization = 0.00 μB/atom; space group = P4/mmm, No. 123
1.0
4.292 0.000 0.000
0.000 4.292 0.000
0.000 0.000 4.577
Li Ga Mo Au
1 1 1 2
Direct
0.000 0.000 0.000
0.500 0.500 0.500
0.000 0.000 0.500
0.000 0.500 0.000
0.500 0.000 0.000